Compound: BeBrN2F
Source: Alexandria
Functional: GGA-PBE
Structure: relaxed

Unit cell a=3.8230 b=3.8230 c=3.3491 alpha=90.00 beta=90.00 gamma=90.00
Last column: nearest neighbours and their distance in Å.
Sites, in units of the cell vectors:
N  0.5000  0.0000  0.0000  2 Be 1.91
Be  0.0000  0.0000  0.0000  2 F 1.67
N  0.0000  0.5000  0.0000  2 Be 1.91
F  0.0000  0.0000  0.5000  2 Be 1.67
Br  0.5000  0.5000  0.5000  8 N 2.54, 4 F 2.70

Output
**DOS(E_F)**: 2.3 states/eV/f.u.
**Magnetization**: 0.0 μB per formula unit
**Formation energy (no corrections)**: 0.791 eV/atom
**Excess energy over the best structure of this formula in the dataset**: 0 meV/atom